Record 1
The following is a DFT calculation (PBE) of an optimized crystal structure of Cd2BiMo2.

## Properties
**Total energy**: -4.9768 eV per atom
**Energy of formation from the pure elements**: 498 meV per atom
**Symmetry**: P4/mbm
**Offset from the most stable computed form**: 0 meV/atom

abc: 6.951 6.951 4.474
angles: 90.00 90.00 90.00
Element x y z (fractional)
Bi1 0.000 0.000 0.000
Bi2 0.500 0.500 0.000
Mo1 0.620 0.120 0.000
Mo2 0.880 0.620 0.000
Mo3 0.120 0.380 0.000
Mo4 0.380 0.880 0.000
Cd1 0.667 0.833 0.500
Cd2 0.833 0.333 0.500
Cd3 0.167 0.667 0.500
Cd4 0.333 0.167 0.500

=====

Record 2
The following is a DFT calculation (PBE) of an optimized crystal structure of CdBiMo3.

## Properties
**Total energy**: -5.2072 eV per atom
**Energy of formation from the pure elements**: 2251 meV per atom
**Symmetry**: Pm-3m
**Offset from the most stable computed form**: 0 meV/atom

abc: 4.968 4.968 4.968
angles: 90.00 90.00 90.00
Element x y z (fractional)
Mo1 0.000 0.500 0.000
Mo2 0.500 0.000 0.000
Mo3 0.000 0.000 0.500
Cd1 0.000 0.000 0.000
Bi1 0.500 0.500 0.500

=====

Record 3
The following is a DFT calculation (PBE) of an optimized crystal structure of Cd3BiMo.

## Properties
**Total energy**: -2.4910 eV per atom
**Energy of formation from the pure elements**: 1000 meV per atom
**Symmetry**: Pm-3m
**Offset from the most stable computed form**: 0 meV/atom

abc: 5.316 5.316 5.316
angles: 90.00 90.00 90.00
Element x y z (fractional)
Cd1 0.500 0.000 0.000
Cd2 0.000 0.000 0.500
Cd3 0.000 0.500 0.000
Bi1 0.500 0.500 0.500
Mo1 0.000 0.000 0.000